The following is a PBE-GGA calculation of an optimized crystal structure of Cr4Ga2I, from the Alexandria database.

Results
Uncorrected formation energy ... 7.9 eV per formula unit
SG ... No. 139
E_tot ... -38.2 eV/cell

Cell: 4.981 4.981 7.428 Å, 70.41 70.41 90.00°
Each line ends with the local moment (μB).
Sites, in units of the cell vectors:
Ga (0.399, 0.399, 0.202)  -0.15
Cr (0.500, 0.000, 0.000)  3.25
Cr (0.209, 0.209, 0.583)  3.88
I (0.000, 0.000, 0.000)  -0.05
Cr (0.791, 0.791, 0.417)  3.88
Ga (0.601, 0.601, 0.798)  -0.15
Cr (0.000, 0.500, 0.000)  3.25